Below is a geometry-optimized TbTcB4 structure, with properties calculated at the GGA-PBE level.

Values from the calculation:
DOS at the Fermi energy in states/eV per cell: 8.75
Symmetry: Pbam, No. 55
Relative energy among the computed polymorphs in eV/f.u.: 0.000
Uncorrected energy in Ry per atom: -0.557

Cell and atoms, written as POSCAR:
```
TbTcB4
1.0
3.6144 0.0000 0.0000
0.0000 5.9804 0.0000
0.0000 0.0000 11.5765
Tb Tc B
4 4 16
direct
0.0000 0.6267 0.3499
0.0000 0.3733 0.6501
0.0000 0.1267 0.1501
0.0000 0.8733 0.8499
0.0000 0.6323 0.0872
0.0000 0.3677 0.9128
0.0000 0.1323 0.4128
0.0000 0.8677 0.5872
0.5000 0.7865 0.1846
0.5000 0.2135 0.8154
0.5000 0.2865 0.3154
0.5000 0.7135 0.6846
0.5000 0.8636 0.0315
0.5000 0.1364 0.9685
0.5000 0.3636 0.4685
0.5000 0.6364 0.5315
0.5000 0.8871 0.4530
0.5000 0.1129 0.5470
0.5000 0.3871 0.0470
0.5000 0.6129 0.9530
0.5000 0.9771 0.3080
0.5000 0.0229 0.6920
0.5000 0.4771 0.1920
0.5000 0.5229 0.8080
```